Record 1
Here is an optimized crystal structure of TcGe2 from OQMD. Energies are from GGA-PBE.

DFT total energy (eV/cell): -34.00
Volume (Å³/cell): 309
E above lowest polymorph (eV/f.u.): 2.61

Unit cell a=7.590 b=7.590 c=7.590 alpha=60.00 beta=60.00 gamma=60.00
Fractional positions:
Ge 0.375 0.875 0.375
Ge 0.375 0.375 0.875
Ge 0.875 0.375 0.375
Tc 0.250 0.250 0.250
Tc 0.500 0.500 0.500
Ge 0.375 0.375 0.375

Record 2
Here is an optimized crystal structure of Tc3Ge5 from OQMD. Energies are from GGA-PBE.

DFT total energy (eV/cell): -55.14
Volume (Å³/cell): 120

Unit cell a=3.244 b=3.244 c=11.368 alpha=90.00 beta=90.00 gamma=90.00
Fractional positions:
Tc 0.000 0.000 0.140
Ge 0.500 0.500 0.756
Ge 0.000 0.000 0.621
Tc 0.000 0.000 0.860
Ge 0.500 0.500 0.244
Ge 0.500 0.500 0.000
Tc 0.500 0.500 0.500
Ge 0.000 0.000 0.379

Record 3
Here is an optimized crystal structure of TcGe2 from OQMD. Energies are from GGA-PBE.

DFT total energy (eV/cell): -156.85
Volume (Å³/cell): 389
E above lowest polymorph (eV/f.u.): 0.00

Unit cell a=6.147 b=6.147 c=11.892 alpha=90.00 beta=90.00 gamma=120.00
Fractional positions:
Ge 0.333 0.167 0.905
Ge 0.833 0.667 0.905
Ge 0.167 0.833 0.095
Tc 0.000 0.000 0.750
Ge 0.167 0.333 0.405
Ge 0.333 0.167 0.595
Ge 0.667 0.833 0.405
Ge 0.333 0.667 0.904
Ge 0.167 0.833 0.405
Ge 0.333 0.667 0.596
Tc 0.998 0.499 0.750
Ge 0.667 0.833 0.095
Ge 0.667 0.333 0.404
Tc 0.000 0.000 0.250
Tc 0.002 0.501 0.250
Tc 0.501 0.002 0.750
Ge 0.833 0.167 0.595
Ge 0.833 0.167 0.905
Ge 0.167 0.333 0.095
Tc 0.499 0.998 0.250
Tc 0.499 0.501 0.250
Ge 0.667 0.333 0.096
Ge 0.833 0.667 0.595
Tc 0.501 0.499 0.750

Record 4
Here is an optimized crystal structure of ThTc4Ge2 from OQMD. Energies are from GGA-PBE.

DFT total energy (eV/cell): -61.13
Volume (Å³/cell): 123

Unit cell a=7.417 b=7.417 c=4.138 alpha=90.00 beta=90.00 gamma=147.14
Fractional positions:
Tc 0.698 0.302 0.000
Th 0.000 0.000 0.000
Tc 0.807 0.193 0.500
Ge 0.589 0.411 0.500
Tc 0.193 0.807 0.500
Tc 0.302 0.698 0.000
Ge 0.411 0.589 0.500

Record 5
Here is an optimized crystal structure of TlTcGe2 from OQMD. Energies are from GGA-PBE.

DFT total energy (eV/cell): -19.03
Volume (Å³/cell): 76

Unit cell a=4.747 b=4.747 c=4.747 alpha=60.00 beta=60.00 gamma=60.00
Last column: magnetic moment on the atom in μB.
Fractional positions:
Tl 0.500 0.500 0.500  0.01
Tc 0.250 0.250 0.250  0.65
Ge 0.750 0.750 0.750  -0.01
Ge 0.000 0.000 0.000  -0.01

Record 6
Here is an optimized crystal structure of TmTc2Ge2 from OQMD. Energies are from GGA-PBE.

DFT total energy (eV/cell): -35.56
Volume (Å³/cell): 93
E above lowest polymorph (eV/f.u.): 1.06

Unit cell a=5.711 b=5.711 c=5.711 alpha=134.58 beta=134.58 gamma=66.18
Fractional positions:
Tm 0.000 0.000 0.000
Tc 0.381 0.381 0.000
Ge 0.750 0.250 0.500
Ge 0.250 0.750 0.500
Tc 0.619 0.619 0.000

Record 7
Here is an optimized crystal structure of Tm2Tc3Ge5 from OQMD. Energies are from GGA-PBE.

DFT total energy (eV/cell): -135.75
Volume (Å³/cell): 359

Unit cell a=8.580 b=8.580 c=8.580 alpha=110.41 beta=82.58 gamma=141.30
Fractional positions:
Ge 0.453 0.250 0.203
Tm 0.858 0.739 0.597
Tc 0.652 0.919 0.571
Ge 0.086 0.812 0.898
Tm 0.642 0.239 0.881
Ge 0.953 0.750 0.203
Ge 0.914 0.188 0.102
Tm 0.358 0.761 0.119
Ge 0.047 0.250 0.797
Tm 0.142 0.261 0.403
Ge 0.586 0.688 0.274
Ge 0.750 0.250 0.500
Tc 0.848 0.419 0.267
Ge 0.414 0.312 0.726
Ge 0.547 0.750 0.797
Tc 0.152 0.581 0.733
Tc 0.250 0.250 0.000
Tc 0.750 0.750 0.000
Tc 0.348 0.081 0.429
Ge 0.250 0.750 0.500

Record 8
Here is an optimized crystal structure of TmTc2Ge2 from OQMD. Energies are from GGA-PBE.

DFT total energy (eV/cell): -36.33
Volume (Å³/cell): 90
E above lowest polymorph (eV/f.u.): 0.29

Unit cell a=6.015 b=6.015 c=6.015 alpha=139.76 beta=139.76 gamma=58.22
Fractional positions:
Tc 0.750 0.250 0.500
Tm 0.000 0.000 0.000
Ge 0.619 0.619 0.000
Ge 0.381 0.381 0.000
Tc 0.250 0.750 0.500